A relaxed structure of LaPmMgCu, computed with PBE.

Output
Symmetry: F-43m

Lattice parameters (Å, degrees): 5.3317 5.3317 5.3317 60.00 60.00 60.00
Fractional coordinates of all 4 atoms:
Pm (0.5000, 0.5000, 0.5000)
Mg (0.7500, 0.7500, 0.7500)
Cu (0.2500, 0.2500, 0.2500)
La (0.0000, 0.0000, 0.0000)

---

A relaxed structure of La2MgCu2Pt5, computed with PBE.

Output
Symmetry: P4/mbm

Lattice parameters (Å, degrees): 3.9614 9.6377 9.6377 90.00 90.00 90.00
Fractional coordinates of all 20 atoms:
Cu (0.0000, 0.6190, 0.8810)
Pt (0.5000, 0.2076, 0.0668)
La (0.0000, 0.6781, 0.1781)
Pt (0.5000, 0.7924, 0.9332)
Cu (0.0000, 0.1190, 0.6190)
Pt (0.5000, 0.0000, 0.5000)
La (0.0000, 0.3219, 0.8219)
La (0.0000, 0.1781, 0.3219)
Pt (0.5000, 0.2924, 0.5668)
Pt (0.5000, 0.4332, 0.2924)
Pt (0.5000, 0.0668, 0.7924)
Pt (0.5000, 0.9332, 0.2076)
Cu (0.0000, 0.3810, 0.1190)
Mg (0.0000, 0.5000, 0.5000)
Mg (0.0000, 0.0000, 0.0000)
Cu (0.0000, 0.8810, 0.3810)
Pt (0.5000, 0.5000, 0.0000)
Pt (0.5000, 0.5668, 0.7076)
Pt (0.5000, 0.7076, 0.4332)
La (0.0000, 0.8219, 0.6781)

---

A relaxed structure of LaMgCu2Re, computed with PBE.

Output
Symmetry: P4/mmm

Lattice parameters (Å, degrees): 4.5670 4.9505 4.5670 90.00 90.00 90.00
Each line ends with the local moment (μB).
Fractional coordinates of all 5 atoms:
La (0.5000, 0.5000, 0.5000)  0.00
Cu (0.0000, 0.0000, 0.5000)  0.00
Mg (0.0000, 0.0000, 0.0000)  0.00
Cu (0.5000, 0.0000, 0.0000)  0.00
Re (0.0000, 0.5000, 0.0000)  0.07

---

A relaxed structure of LaMgCuRu, computed with PBE.

Output
Symmetry: F-43m

Lattice parameters (Å, degrees): 4.8168 4.8168 4.8168 60.00 60.00 60.00
Fractional coordinates of all 4 atoms:
La (0.5000, 0.5000, 0.5000)
Ru (0.7500, 0.7500, 0.7500)
Mg (0.0000, 0.0000, 0.0000)
Cu (0.2500, 0.2500, 0.2500)

---

A relaxed structure of LaMgCuSi, computed with PBE.

Output
Uncorrected formation energy, eV per atom: -0.280
Symmetry: F-43m

Lattice parameters (Å, degrees): 4.9122 4.9122 4.9122 60.00 60.00 60.00
Fractional coordinates of all 4 atoms:
Cu (0.2500, 0.2500, 0.2500)
La (0.0000, 0.0000, 0.0000)
Mg (0.5000, 0.5000, 0.5000)
Si (0.7500, 0.7500, 0.7500)

---

A relaxed structure of La2MgCu4Si3, computed with PBE.

Output
Uncorrected formation energy, eV per atom: -0.483
Symmetry: P-4m2

Lattice parameters (Å, degrees): 4.1922 4.1922 10.2409 90.00 90.00 90.00
Fractional coordinates of all 10 atoms:
Cu (0.5000, 0.0000, 0.6413)
Mg (0.5000, 0.5000, 0.5000)
Si (0.5000, 0.0000, 0.8741)
Si (0.0000, 0.0000, 0.5000)
La (0.0000, 0.5000, 0.7666)
Cu (0.5000, 0.5000, 0.0000)
Si (0.0000, 0.5000, 0.1259)
Cu (0.0000, 0.0000, 0.0000)
Cu (0.0000, 0.5000, 0.3587)
La (0.5000, 0.0000, 0.2334)

---

A relaxed structure of LaMg2CuSi2, computed with PBE.

Output
Uncorrected formation energy, eV per atom: 0.027
Symmetry: I4/mmm

Lattice parameters (Å, degrees): 5.1405 5.1405 6.4912 113.33 113.33 90.00
Fractional coordinates of all 6 atoms:
Cu (0.0000, 0.0000, 0.0000)
Mg (0.7500, 0.2500, 0.5000)
La (0.5000, 0.5000, 0.0000)
Si (0.2038, 0.2038, 0.4076)
Si (0.7962, 0.7962, 0.5924)
Mg (0.2500, 0.7500, 0.5000)

---

A relaxed structure of LaMgCuSn2, computed with PBE.

Output
Symmetry: I-4m2

Lattice parameters (Å, degrees): 4.4858 4.4858 6.8585 109.09 109.09 90.00
Fractional coordinates of all 5 atoms:
Mg (0.7500, 0.2500, 0.5000)
Cu (0.2500, 0.7500, 0.5000)
La (0.0000, 0.0000, 0.0000)
Sn (0.6174, 0.6174, 0.2349)
Sn (0.3826, 0.3826, 0.7651)

---

no.,electronic total energy (eV/cell)
1,-15.5
2,-115.5
3,-23.1
4,-20.0
5,-17.2
6,-48.9
7,-22.9
8,-20.7